# LaMgOs

LaMgOs at its PBEsol-relaxed geometry (meta-GGA SCAN, the Alexandria database).

The structure in POSCAR format:
```
LaMgOs
1.0
-4.607 0.113 0.673
-2.331 -3.948 0.820
-1.756 -0.831 4.233
La Mg Os
1 1 1
Direct
0.000 0.000 0.000
0.500 0.500 0.500
0.250 0.250 0.250
```

## Properties
E_tot (eV per formula unit): -119.56
Volume (A^3/atom): 23.81
Energy of formation from the pure elements (eV per atom): 0.1340

---

# SrCrCo2

SrCrCo2 at its PBEsol-relaxed geometry (meta-GGA SCAN, the Alexandria database).

The structure in POSCAR format:
```
SrCrCo2
1.0
-1.857 -1.218 -2.299
-2.008 -1.809 2.581
-2.910 5.067 1.288
Co Cr Sr
2 1 1
Direct
0.888 0.000 0.082
0.868 0.500 0.306
0.466 0.000 0.327
0.279 0.500 0.784
```

## Properties
E_tot (eV per formula unit): -72.23
Volume (A^3/atom): 17.53
Energy of formation from the pure elements (eV per atom): 0.7589

---

# CoCu3P4O16

CoCu3P4O16 at its PBEsol-relaxed geometry (meta-GGA SCAN, the Alexandria database).

The structure in POSCAR format:
```
CoCu3P4O16
1.0
-2.549 3.869 -1.829
-3.103 0.332 5.028
6.861 5.906 3.844
Co Cu P O
1 3 4 16
Direct
0.933 0.000 0.703
0.109 0.500 0.309
0.363 0.500 0.807
0.625 0.000 0.191
0.068 0.000 0.395
0.444 0.000 0.886
0.549 0.500 0.113
0.932 0.500 0.603
0.128 0.000 0.552
0.215 0.202 0.331
0.215 0.798 0.331
0.238 0.500 0.629
0.246 0.500 0.137
0.279 0.194 0.815
0.279 0.806 0.815
0.401 0.000 0.040
0.584 0.500 0.958
0.706 0.699 0.180
0.706 0.301 0.180
0.748 0.000 0.864
0.762 0.000 0.369
0.797 0.709 0.671
0.797 0.291 0.671
0.876 0.500 0.449
```

## Properties
E_tot (eV per formula unit): -244.49
Volume (A^3/atom): 12.07
Energy relative to the elements, uncorrected (eV/atom): -1.679

---

# CsBi3Pt

CsBi3Pt at its PBEsol-relaxed geometry (meta-GGA SCAN, the Alexandria database).

The structure in POSCAR format:
```
CsBi3Pt
1.0
6.009 0.000 0.000
0.000 6.009 0.000
0.000 0.000 6.009
Cs Bi Pt
1 3 1
Direct
0.000 0.000 0.000
0.000 0.500 0.000
0.000 0.000 0.500
0.500 0.000 0.000
0.500 0.500 0.500
```

## Properties
E_tot (eV per formula unit): -332.41
Volume (A^3/atom): 43.39
Energy of formation from the pure elements (eV per atom): 2.2668